(1)
Sb2TePb after structural relaxation, computed with GGA-PBEsol.

D(E_F) in states/eV/cell: 4.67
Formation energy (no corrections) in meV/atom: 63
Energy relative to the lowest polymorph listed for this composition in eV/atom: 0.179

The structure in CIF format:
```
data_Sb2TePb
_chemical_formula_sum 'Sb4 Te2 Pb2'
_cell_length_a 3.777
_cell_length_b 5.486
_cell_length_c 10.662
_cell_angle_alpha 90.00
_cell_angle_beta 90.00
_cell_angle_gamma 90.00
_symmetry_space_group_name_H-M 'I m m m'
_symmetry_Int_Tables_number 71
_symmetry_space_group_name_Hall '-I 2 2'
loop_
_atom_site_label
_atom_site_type_symbol
_atom_site_fract_x
_atom_site_fract_y
_atom_site_fract_z
_atom_site_occupancy
Sb1 Sb 0.000 0.000 0.236 1
Te1 Te 0.000 0.500 0.500 1
Pb1 Pb 0.000 0.500 0.000 1
```

=====

(2)
MnZnRh2 after structural relaxation, computed with GGA-PBEsol.

D(E_F) in states/eV/cell: 24.98
Formation energy in meV/atom: 67

The structure in CIF format:
```
data_MnZnRh2
_chemical_formula_sum 'Mn4 Zn4 Rh8'
_cell_length_a 6.012
_cell_length_b 6.012
_cell_length_c 6.012
_cell_angle_alpha 90.00
_cell_angle_beta 90.00
_cell_angle_gamma 90.00
_symmetry_space_group_name_H-M 'F -4 3 m'
_symmetry_Int_Tables_number 216
_symmetry_space_group_name_Hall 'F -4 2 3'
loop_
_atom_site_label
_atom_site_type_symbol
_atom_site_fract_x
_atom_site_fract_y
_atom_site_fract_z
_atom_site_occupancy
Mn1 Mn 0.000 0.000 0.000 1
Zn1 Zn 0.250 0.250 0.250 1
Rh1 Rh 0.000 0.000 0.500 1
Rh2 Rh 0.250 0.250 0.750 1
```

=====

(3)
Ca2TlW after structural relaxation, computed with GGA-PBEsol.

D(E_F) in states/eV/cell: 9.79
Formation energy in meV/atom: 749
Energy relative to the lowest polymorph listed for this composition in eV/atom: 0.121

The structure in CIF format:
```
data_Ca2TlW
_chemical_formula_sum 'Ca8 Tl4 W4'
_cell_length_a 7.341
_cell_length_b 7.341
_cell_length_c 7.341
_cell_angle_alpha 90.00
_cell_angle_beta 90.00
_cell_angle_gamma 90.00
_symmetry_space_group_name_H-M 'F m -3 m'
_symmetry_Int_Tables_number 225
_symmetry_space_group_name_Hall '-F 4 2 3'
loop_
_atom_site_label
_atom_site_type_symbol
_atom_site_fract_x
_atom_site_fract_y
_atom_site_fract_z
_atom_site_occupancy
Ca1 Ca 0.250 0.250 0.250 1
Tl1 Tl 0.000 0.000 0.000 1
W1 W 0.000 0.000 0.500 1
```

=====

(4)
CoRu after structural relaxation, computed with GGA-PBEsol.

D(E_F) in states/eV/cell: 11.86
Formation energy in meV/atom: 429

The structure in CIF format:
```
data_CoRu
_chemical_formula_sum 'Co4 Ru4'
_cell_length_a 2.678
_cell_length_b 4.357
_cell_length_c 8.467
_cell_angle_alpha 90.00
_cell_angle_beta 90.00
_cell_angle_gamma 90.00
_symmetry_space_group_name_H-M 'C m m e'
_symmetry_Int_Tables_number 67
_symmetry_space_group_name_Hall '-C 2a 2'
loop_
_atom_site_label
_atom_site_type_symbol
_atom_site_fract_x
_atom_site_fract_y
_atom_site_fract_z
_atom_site_occupancy
Co1 Co 0.000 0.250 0.115 1
Ru1 Ru 0.000 0.250 0.633 1
```

=====

(5)
Zr5Os3 after structural relaxation, computed with GGA-PBEsol.

D(E_F) in states/eV/cell: 16.33
Formation energy in meV/atom: -343
Energy relative to the lowest polymorph listed for this composition in eV/atom: 0.017

The structure in CIF format:
```
data_Zr5Os3
_chemical_formula_sum 'Zr10 Os6'
_cell_length_a 6.599
_cell_length_b 9.268
_cell_length_c 4.678
_cell_angle_alpha 90.00
_cell_angle_beta 90.00
_cell_angle_gamma 90.00
_symmetry_space_group_name_H-M 'C m m m'
_symmetry_Int_Tables_number 65
_symmetry_space_group_name_Hall '-C 2 2'
loop_
_atom_site_label
_atom_site_type_symbol
_atom_site_fract_x
_atom_site_fract_y
_atom_site_fract_z
_atom_site_occupancy
Zr1 Zr 0.000 0.000 0.000 1
Zr2 Zr 0.239 0.500 0.500 1
Zr3 Zr 0.250 0.250 0.000 1
Os1 Os 0.000 0.245 0.500 1
Os2 Os 0.000 0.500 0.000 1
```

=====

(6)
Li5TaO5 after structural relaxation, computed with GGA-PBEsol.

D(E_F) in states/eV/cell: 0.00
Formation energy (no corrections) in meV/atom: -2362
Energy relative to the lowest polymorph listed for this composition in eV/atom: 0.000

The structure in CIF format:
```
data_Li5TaO5
_chemical_formula_sum 'Li10 Ta2 O10'
_cell_length_a 9.682
_cell_length_b 3.996
_cell_length_c 5.785
_cell_angle_alpha 90.00
_cell_angle_beta 108.66
_cell_angle_gamma 90.00
_symmetry_space_group_name_H-M 'C 1 2/m 1'
_symmetry_Int_Tables_number 12
loop_
_symmetry_equiv_pos_as_xyz
'x,y,z'
'-x,-y,-z'
'-x,y,-z'
'x,-y,z'
'x+1/2,y+1/2,z'
'-x+1/2,-y+1/2,-z'
'-x+1/2,y+1/2,-z'
'x+1/2,-y+1/2,z'
loop_
_atom_site_label
_atom_site_type_symbol
_atom_site_fract_x
_atom_site_fract_y
_atom_site_fract_z
_atom_site_occupancy
Li1 Li 0.000 0.000 0.000 1
Li2 Li 0.191 0.500 0.360 1
Li3 Li 0.213 0.500 0.845 1
Ta1 Ta 0.000 0.000 0.500 1
O1 O 0.000 0.500 0.500 1
O2 O 0.146 0.000 0.326 1
O3 O 0.157 0.000 0.819 1
```

=====

(7)
Zn2TcAs after structural relaxation, computed with GGA-PBEsol.

D(E_F) in states/eV/cell: 4.20
Formation energy in meV/atom: 81

The structure in CIF format:
```
data_Zn2TcAs
_chemical_formula_sum 'Zn4 Tc2 As2'
_cell_length_a 3.332
_cell_length_b 4.221
_cell_length_c 8.152
_cell_angle_alpha 90.00
_cell_angle_beta 90.00
_cell_angle_gamma 90.00
_symmetry_space_group_name_H-M 'I m m 2'
_symmetry_Int_Tables_number 44
loop_
_symmetry_equiv_pos_as_xyz
'x,y,z'
'-x,-y,z'
'-x,y,z'
'x,-y,z'
'x+1/2,y+1/2,z+1/2'
'-x+1/2,-y+1/2,z+1/2'
'-x+1/2,y+1/2,z+1/2'
'x+1/2,-y+1/2,z+1/2'
loop_
_atom_site_label
_atom_site_type_symbol
_atom_site_fract_x
_atom_site_fract_y
_atom_site_fract_z
_atom_site_occupancy
Zn1 Zn 0.000 0.000 0.000 1
Zn2 Zn 0.000 0.500 0.256 1
Tc1 Tc 0.000 0.000 0.491 1
As1 As 0.000 0.500 0.759 1
```

=====

(8)
ZrTiAuCl2 after structural relaxation, computed with GGA-PBEsol.

D(E_F) in states/eV/cell: 5.85
Formation energy (no corrections) in meV/atom: -159

The structure in CIF format:
```
data_ZrTiAuCl2
_chemical_formula_sum 'Zr1 Ti1 Au1 Cl2'
_cell_length_a 4.450
_cell_length_b 4.450
_cell_length_c 5.324
_cell_angle_alpha 90.00
_cell_angle_beta 90.00
_cell_angle_gamma 90.00
_symmetry_space_group_name_H-M 'P 4/m m m'
_symmetry_Int_Tables_number 123
_symmetry_space_group_name_Hall '-P 4 2'
loop_
_atom_site_label
_atom_site_type_symbol
_atom_site_fract_x
_atom_site_fract_y
_atom_site_fract_z
_atom_site_occupancy
Zr1 Zr 0.000 0.000 0.000 1
Ti1 Ti 0.500 0.500 0.500 1
Au1 Au 0.500 0.500 0.000 1
Cl1 Cl 0.000 0.500 0.500 1
```

=====

(9)
BeReRu2W after structural relaxation, computed with GGA-PBEsol.

D(E_F) in states/eV/cell: 2.81
Formation energy in meV/atom: 580

The structure in CIF format:
```
data_BeReRu2W
_chemical_formula_sum 'Be1 Re1 Ru2 W1'
_cell_length_a 3.990
_cell_length_b 3.990
_cell_length_c 4.176
_cell_angle_alpha 90.00
_cell_angle_beta 90.00
_cell_angle_gamma 90.00
_symmetry_space_group_name_H-M 'P 4/m m m'
_symmetry_Int_Tables_number 123
_symmetry_space_group_name_Hall '-P 4 2'
loop_
_atom_site_label
_atom_site_type_symbol
_atom_site_fract_x
_atom_site_fract_y
_atom_site_fract_z
_atom_site_occupancy
Be1 Be 0.000 0.000 0.000 1
Re1 Re 0.500 0.500 0.500 1
Ru1 Ru 0.000 0.500 0.000 1
W1 W 0.000 0.000 0.500 1
```

=====

(10)
KTc2Ru after structural relaxation, computed with GGA-PBEsol.

D(E_F) in states/eV/cell: 4.28
Formation energy in meV/atom: 898

The structure in CIF format:
```
data_KTc2Ru
_chemical_formula_sum 'K1 Tc2 Ru1'
_cell_length_a 3.116
_cell_length_b 3.116
_cell_length_c 8.087
_cell_angle_alpha 90.00
_cell_angle_beta 90.00
_cell_angle_gamma 90.00
_symmetry_space_group_name_H-M 'P 4 m m'
_symmetry_Int_Tables_number 99
loop_
_symmetry_equiv_pos_as_xyz
'x,y,z'
'-y,x,z'
'-x,-y,z'
'y,-x,z'
'-x,y,z'
'y,x,z'
'x,-y,z'
'-y,-x,z'
loop_
_atom_site_label
_atom_site_type_symbol
_atom_site_fract_x
_atom_site_fract_y
_atom_site_fract_z
_atom_site_occupancy
K1 K 0.000 0.000 0.000 1
Tc1 Tc 0.000 0.000 0.498 1
Tc2 Tc 0.500 0.500 0.648 1
Ru1 Ru 0.500 0.500 0.330 1
```

=====

(11)
Ta3CoCl after structural relaxation, computed with GGA-PBEsol.

D(E_F) in states/eV/cell: 6.64
Formation energy (no corrections) in meV/atom: 1044

The structure in CIF format:
```
data_Ta3CoCl
_chemical_formula_sum 'Ta3 Co1 Cl1'
_cell_length_a 4.590
_cell_length_b 4.590
_cell_length_c 4.590
_cell_angle_alpha 90.00
_cell_angle_beta 90.00
_cell_angle_gamma 90.00
_symmetry_space_group_name_H-M 'P m -3 m'
_symmetry_Int_Tables_number 221
_symmetry_space_group_name_Hall '-P 4 2 3'
loop_
_atom_site_label
_atom_site_type_symbol
_atom_site_fract_x
_atom_site_fract_y
_atom_site_fract_z
_atom_site_occupancy
Ta1 Ta 0.000 0.000 0.500 1
Co1 Co 0.000 0.000 0.000 1
Cl1 Cl 0.500 0.500 0.500 1
```

=====

(12)
YCr3Ge after structural relaxation, computed with GGA-PBEsol.

D(E_F) in states/eV/cell: 5.63
Formation energy in meV/atom: 2171

The structure in CIF format:
```
data_YCr3Ge
_chemical_formula_sum 'Y1 Cr3 Ge1'
_cell_length_a 4.717
_cell_length_b 4.717
_cell_length_c 4.717
_cell_angle_alpha 90.00
_cell_angle_beta 90.00
_cell_angle_gamma 90.00
_symmetry_space_group_name_H-M 'P m -3 m'
_symmetry_Int_Tables_number 221
_symmetry_space_group_name_Hall '-P 4 2 3'
loop_
_atom_site_label
_atom_site_type_symbol
_atom_site_fract_x
_atom_site_fract_y
_atom_site_fract_z
_atom_site_occupancy
Y1 Y 0.000 0.000 0.000 1
Cr1 Cr 0.000 0.000 0.500 1
Ge1 Ge 0.500 0.500 0.500 1
```

=====

Question: Among the records above, which one has the lowest D(E_F)?
Answer: Li5TaO5